VSiCl2 | Alexandria via LeMat-Bulk | GGA-PBE | relaxed; space group = I-42d, No. 122; raw formation energy = -0.119 eV/atom; offset from the most stable computed form = 110 meV per atom
1.0
8.6760 0.0000 0.0000
0.0000 8.6760 0.0000
0.0000 0.0000 4.9378
V Si Cl
4 4 8
Cartesian
0.0000 0.0000 0.0000 V
0.0000 4.3380 1.2344 V
4.3380 0.0000 3.7033 V
4.3380 4.3380 2.4689 V
0.0000 0.0000 2.4689 Si
0.0000 4.3380 3.7033 Si
4.3380 0.0000 1.2344 Si
4.3380 4.3380 0.0000 Si
0.9275 2.1690 0.6172 Cl
2.1690 5.2654 1.8517 Cl
2.1690 7.7485 4.3206 Cl
3.4105 2.1690 3.0861 Cl
5.2654 6.5070 3.0861 Cl
6.5070 0.9275 4.3206 Cl
6.5070 3.4105 1.8517 Cl
7.7485 6.5070 0.6172 Cl

=====

ZnCrCd2 | Alexandria via LeMat-Bulk | GGA-PBE | relaxed; space group = P4/mmm, No. 123; energy of formation = 285 meV per atom
1.0
3.0739 0.0000 0.0000
0.0000 3.0739 0.0000
0.0000 0.0000 7.8777
Zn Cr Cd
1 1 2
Cartesian
0.0000 0.0000 0.0000 Zn
0.0000 0.0000 3.9388 Cr
1.5369 1.5369 1.9764 Cd
1.5369 1.5369 5.9013 Cd

=====

ErThNiRu | Alexandria via LeMat-Bulk | GGA-PBE | relaxed; space group = F-43m, No. 216; energy of formation = -399 meV per atom
1.0
6.9105 0.0000 0.0000
0.0000 6.9105 0.0000
0.0000 0.0000 6.9105
Er Th Ni Ru
4 4 4 4
Cartesian
0.0000 0.0000 0.0000 Er
0.0000 3.4553 3.4553 Er
3.4553 0.0000 3.4553 Er
3.4553 3.4553 0.0000 Er
0.0000 0.0000 3.4553 Th
0.0000 3.4553 0.0000 Th
3.4553 0.0000 0.0000 Th
3.4553 3.4553 3.4553 Th
1.7276 1.7276 1.7276 Ni
1.7276 5.1829 5.1829 Ni
5.1829 1.7276 5.1829 Ni
5.1829 5.1829 1.7276 Ni
1.7276 1.7276 5.1829 Ru
1.7276 5.1829 1.7276 Ru
5.1829 1.7276 1.7276 Ru
5.1829 5.1829 5.1829 Ru

=====

no.,calculated total energy (eV/atom),density of states at the Fermi level (states/eV/cell)
1,-4.678,8.04
2,-2.897,1.69
3,-7.159,13.57